OsI2NF: relaxed, PBE.

a = 5.345 Å, b = 5.345 Å, c = 3.437 Å
α = 90.00°, β = 90.00°, γ = 90.00°
Space group P4/mmm (No. 123)
Asymmetric unit:
Os1 0.000 0.000 0.000 (multiplicity 1)
I1 0.000 0.500 0.500 (multiplicity 2)
N1 0.500 0.500 0.000 (multiplicity 1)
F1 0.500 0.500 0.500 (multiplicity 1)

Magnetic moment in μB per formula unit: 2.859
Formation energy (no corrections) in kJ/mol of formula units: 933.1
Electronic total energy in eV per atom: -2.97

***

TiAgAu2: relaxed, PBE.

a = 7.451 Å, b = 7.451 Å, c = 5.597 Å
α = 90.00°, β = 90.00°, γ = 90.00°
Space group I-42d (No. 122)
Asymmetric unit:
Ti1 0.000 0.000 0.000 (multiplicity 4)
Ag1 0.000 0.000 0.500 (multiplicity 4)
Au1 0.233 0.250 0.125 (multiplicity 8)

Energy of formation in eV per atom: 0.153
Magnetic moment in μB per formula unit: 0.994
Electronic total energy in eV per atom: -4.17

***

Pu2NiPb: relaxed, PBE.

a = 3.6016 Å, b = 3.6016 Å, c = 27.1243 Å
α = 90.00°, β = 90.00°, γ = 120.00°
Space group R-3m (No. 166, hexagonal axes)
Asymmetric unit:
Pu1 0.0000 0.0000 0.2323 (multiplicity 6)
Ni1 0.0000 0.0000 0.5000 (multiplicity 3)
Pb1 0.0000 0.0000 0.0000 (multiplicity 3)

Energy of formation in eV per atom: 0.052
Magnetic moment in μB per formula unit: 11.048
Electronic total energy in eV per atom: -9.49

***

| no. | ρ (Mg/m³) |
| --- | --- |
| 1 | 8.07 |
| 2 | 11.75 |
| 3 | 12.33 |